Computed, not measured: CeUGaOs after structural relaxation at the GGA-PBE level of DFT.

Results
Its crystal system is cubic. The spin magnetization is 12.2 Bohr magnetons per cell. For the calculated formation energy, the calculation gives -0.39 eV per formula unit. For the density of states at the Fermi level, the calculation gives 42.0 states/eV per cell.

```
data_CeUGaOs
_symmetry_space_group_name_H-M 'F -4 3 m'
_symmetry_Int_Tables_number 216
_symmetry_space_group_name_Hall 'F -4 2 3'
_cell_length_a 6.775
_cell_length_b 6.775
_cell_length_c 6.775
_cell_angle_alpha 90.00
_cell_angle_beta 90.00
_cell_angle_gamma 90.00
loop_
_atom_site_label
_atom_site_type_symbol
_atom_site_fract_x
_atom_site_fract_y
_atom_site_fract_z
Ce1 Ce 0.000 0.000 0.000
U1 U 0.250 0.250 0.250
Ga1 Ga 0.250 0.250 0.750
Os1 Os 0.000 0.000 0.500
```